w) Density functional theory data (PBE-GGA) for Ce2Dy12Er5 after structural relaxation.

- Calculated volume: 1203.84 Å³ per cell
- Spin magnetization: 0.94 μB per formula unit
- Density: 8.46 g/cm3

Cell: 15.3822 9.1486 8.5623 Å, 90.00 92.44 90.00°
Last column: nearest neighbours and their distance in Å.
Space group C2/m (No. 12)
One atom of each set of equivalent atoms:
Ce (0.0000, 0.1489, 0.0000)  1 Ce 2.72
Dy (0.0603, 0.0000, 0.3431)  2 Er 3.28-3.58, 7 Dy 3.33-3.55, 2 Ce 3.33
Dy (0.0685, 0.5000, 0.8723)  3 Dy 3.10-3.40, 2 Er 3.31-3.41
Dy (0.1322, 0.1922, 0.6855)  3 Er 3.38-3.67, 5 Dy 3.40-3.55, 1 Ce 3.47
Dy (0.1460, 0.3208, 0.2372)  3 Dy 3.28-3.45, 1 Ce 3.35, 4 Er 3.46-3.66
Er (0.0000, 0.5000, 0.5000)  6 Dy 3.31-3.64, 2 Er 3.57
Er (0.2131, 0.0000, 0.0393)  8 Dy 3.41-3.67, 1 Er 3.46, 2 Ce 3.55
Er (0.2305, 0.5000, 0.5653)  7 Dy 3.28-3.54, 2 Er 3.46-3.57

x) Density functional theory data (PBE-GGA) for Ce2Dy12Er5 after structural relaxation.

- Calculated volume: 1197.42 Å³ per cell
- Spin magnetization: 2.99 μB per formula unit
- Density: 8.51 g/cm3

Cell: 17.5624 11.5276 6.0671 Å, 90.00 102.87 90.00°
Last column: nearest neighbours and their distance in Å.
Space group C2/m (No. 12)
One atom of each set of equivalent atoms:
Ce (0.0000, 0.2250, 0.0000)  8 Dy 3.25-3.63
Dy (0.0594, 0.5000, 0.2773)  6 Dy 3.53-3.83, 3 Er 3.60-3.90, 2 Ce 3.63
Dy (0.1021, 0.2494, 0.6173)  1 Ce 3.25, 5 Dy 3.33-3.60, 3 Er 3.38-3.54
Dy (0.1195, 0.0000, 0.0024)  4 Er 3.29-3.49, 2 Ce 3.33, 4 Dy 3.38-3.67
Dy (0.1996, 0.2555, 0.2060)  6 Dy 3.33-3.62, 3 Er 3.38-3.60, 1 Ce 3.47
Er (0.0000, 0.0000, 0.5000)  6 Dy 3.29-3.38, 2 Er 3.68
Er (0.1771, 0.5000, 0.8617)  9 Dy 3.38-3.73, 2 Er 3.49-3.65
Er (0.2131, 0.0000, 0.5527)  8 Dy 3.38-3.60, 3 Er 3.49-3.68

Which of them is the least stable? Correct choice: w).

w) Density functional theory data (PBE-GGA) for Ce2DyEr after structural relaxation.

- Calculated volume: 358.99 Å³ per cell
- Spin magnetization: 1.49 μB per formula unit
- Density: 8.46 g/cm3

Cell: 3.4740 3.4740 34.3479 Å, 90.00 90.00 120.00°
Last column: nearest neighbours and their distance in Å.
Space group R-3m (No. 166, hexagonal axes)
One atom of each set of equivalent atoms:
Ce (0.0000, 0.0000, 0.2503)  6 Ce 3.47, 3 Er 3.49, 3 Dy 3.50
Dy (0.0000, 0.0000, 0.5000)  6 Dy 3.47, 6 Ce 3.50
Er (0.0000, 0.0000, 0.0000)  6 Er 3.47, 6 Ce 3.49

x) Density functional theory data (PBE-GGA) for Ce2DyEr after structural relaxation.

- Calculated volume: 500.28 Å³ per cell
- Spin magnetization: 1.70 μB per formula unit
- Density: 8.10 g/cm3

Cell: 7.9385 7.9385 7.9385 Å, 90.00 90.00 90.00°
Last column: nearest neighbours and their distance in Å.
Space group Fm-3m (No. 225)
One atom of each set of equivalent atoms:
Ce (0.2500, 0.2500, 0.2500)  4 Dy 3.44, 4 Er 3.44
Dy (0.0000, 0.0000, 0.0000)  8 Ce 3.44
Er (0.0000, 0.0000, 0.5000)  8 Ce 3.44

y) Density functional theory data (PBE-GGA) for Ce2DyEr after structural relaxation.

- Calculated volume: 120.55 Å³ per cell
- Spin magnetization: 1.49 μB per formula unit
- Density: 8.40 g/cm3

Cell: 3.4602 3.4602 10.0690 Å, 90.00 90.00 90.00°
Last column: nearest neighbours and their distance in Å.
Space group P4/mmm (No. 123)
One atom of each set of equivalent atoms:
Ce (0.0000, 0.0000, 0.2490)  4 Ce 3.46, 4 Er 3.50, 4 Dy 3.52
Dy (0.5000, 0.5000, 0.5000)  4 Dy 3.46, 8 Ce 3.52
Er (0.5000, 0.5000, 0.0000)  4 Er 3.46, 8 Ce 3.50

Which of them is the least stable? Correct choice: x).

w) Density functional theory data (PBE-GGA) for CeDy4Er2 after structural relaxation.

- Calculated volume: 436.52 Å³ per cell
- Spin magnetization: 0.81 μB per formula unit
- Density: 8.56 g/cm3

Cell: 6.1651 3.5549 20.0288 Å, 90.00 96.04 90.00°
Last column: nearest neighbours and their distance in Å.
Space group Cm (No. 8)
One atom of each set of equivalent atoms:
Ce (0.0000, 0.0000, 0.0000)  6 Dy 3.51-3.55, 6 Ce 3.55-3.56
Dy (0.1002, 0.0000, 0.2878)  3 Er 3.48-3.50, 9 Dy 3.51-3.56
Dy (0.1237, 0.5000, 0.8555)  3 Er 3.49-3.50, 3 Ce 3.51-3.55, 6 Dy 3.55-3.56
Dy (0.1950, 0.0000, 0.5710)  6 Er 3.47-3.52, 6 Dy 3.55-3.56
Dy (0.2190, 0.5000, 0.1448)  9 Dy 3.51-3.56, 3 Ce 3.53-3.54
Er (0.3185, 0.5000, 0.4297)  6 Dy 3.47-3.50, 6 Er 3.55-3.56
Er (0.4075, 0.5000, 0.7136)  6 Dy 3.49-3.52, 6 Er 3.55-3.56

x) Density functional theory data (PBE-GGA) for CeDy4Er2 after structural relaxation.

- Calculated volume: 453.09 Å³ per cell
- Spin magnetization: 1.03 μB per formula unit
- Density: 8.24 g/cm3

Cell: 3.5846 22.5869 5.5961 Å, 90.00 90.00 90.00°
Last column: nearest neighbours and their distance in Å.
Space group Cmmm (No. 65)
One atom of each set of equivalent atoms:
Ce (0.0000, 0.0000, 0.0000)  2 Ce 3.58, 8 Er 3.67
Dy (0.0000, 0.1913, 0.5000)  6 Dy 3.20-3.37, 2 Er 3.30
Dy (0.0000, 0.3324, 0.0000)  6 Dy 3.37-3.58, 2 Er 3.58
Er (0.0000, 0.4312, 0.5000)  1 Er 3.11, 2 Dy 3.30

Which of them is the least stable? Correct choice: x).

w) Density functional theory data (PBE-GGA) for CeDyEr4 after structural relaxation.

- Calculated volume: 752.16 Å³ per cell
- Spin magnetization: 1.53 μB per formula unit
- Density: 8.58 g/cm3

Cell: 6.5837 11.4065 10.0158 Å, 90.00 90.00 90.00°
Last column: nearest neighbours and their distance in Å.
Space group Imma (No. 74)
One atom of each set of equivalent atoms:
Ce (0.0000, 0.0000, 0.0000)  10 Er 3.34-3.69
Dy (0.2500, 0.2500, 0.2500)  2 Dy 3.29, 6 Er 3.35-3.41
Er (0.0000, 0.0017, 0.6662)  5 Er 3.33-3.70, 3 Ce 3.34-3.69, 2 Dy 3.41
Er (0.2491, 0.2500, 0.9159)  5 Er 3.28-3.38, 1 Dy 3.35, 2 Ce 3.40

x) Density functional theory data (PBE-GGA) for CeDyEr4 after structural relaxation.

- Calculated volume: 367.24 Å³ per cell
- Spin magnetization: 0.79 μB per formula unit
- Density: 8.79 g/cm3

Cell: 17.0560 3.5373 6.1304 Å, 90.00 96.83 90.00°
Last column: nearest neighbours and their distance in Å.
Space group C2/m (No. 12)
One atom of each set of equivalent atoms:
Ce (0.0000, 0.0000, 0.0000)  6 Er 3.47-3.49, 2 Ce 3.54, 4 Dy 3.54
Dy (0.0000, 0.5000, 0.5000)  6 Er 3.49-3.50, 2 Dy 3.54, 4 Ce 3.54
Er (0.1662, 0.5000, 0.8908)  2 Ce 3.47, 9 Er 3.48-3.56, 1 Dy 3.49
Er (0.1675, 0.0000, 0.3866)  9 Er 3.47-3.56, 1 Ce 3.49, 2 Dy 3.50

Which of them is the least stable? Correct choice: w).

w) Density functional theory data (PBE-GGA) for CeEuDy after structural relaxation.

- Calculated volume: 201.87 Å³ per cell
- Spin magnetization: 8.29 μB per formula unit
- Density: 7.48 g/cm3

Cell: 3.5967 3.5967 15.6049 Å, 90.00 90.00 90.00°
Last column: nearest neighbours and their distance in Å.
Space group I4mm (No. 107)
One atom of each set of equivalent atoms:
Ce (0.0000, 0.0000, 0.0000)  4 Dy 3.46, 4 Ce 3.60, 4 Eu 3.69
Eu (0.0000, 0.0000, 0.6716)  4 Eu 3.60, 4 Ce 3.69, 4 Dy 3.77
Dy (0.0000, 0.0000, 0.3501)  4 Ce 3.46, 4 Dy 3.60, 4 Eu 3.77

x) Density functional theory data (PBE-GGA) for CeEuDy after structural relaxation.

- Calculated volume: 100.23 Å³ per cell
- Spin magnetization: 8.45 μB per formula unit
- Density: 7.53 g/cm3

Cell: 3.5942 3.5942 8.9591 Å, 90.00 90.00 120.00°
Last column: nearest neighbours and their distance in Å.
Space group P3m1 (No. 156)
One atom of each set of equivalent atoms:
Ce (0.0000, 0.0000, 0.0000)  3 Dy 3.46, 6 Ce 3.59, 3 Eu 3.71
Eu (0.3333, 0.6667, 0.6567)  6 Eu 3.59, 3 Ce 3.71, 3 Dy 3.74
Dy (0.6667, 0.3333, 0.3093)  3 Ce 3.46, 6 Dy 3.59, 3 Eu 3.74

Which of them is the least stable? Correct choice: w).

w) Density functional theory data (PBE-GGA) for CeDy2Fe after structural relaxation.

- Calculated volume: 307.32 Å³ per cell
- Spin magnetization: 1.94 μB per formula unit
- Density: 8.44 g/cm3

Cell: 3.3498 3.3498 31.6244 Å, 90.00 90.00 120.00°
Last column: nearest neighbours and their distance in Å.
Space group R-3m (No. 166, hexagonal axes)
One atom of each set of equivalent atoms:
Ce (0.0000, 0.0000, 0.0000)  2 Dy 3.34, 6 Ce 3.35
Dy (0.0000, 0.0000, 0.1055)  3 Fe 2.74
Fe (0.0000, 0.0000, 0.5000)  6 Dy 2.74

x) Density functional theory data (PBE-GGA) for CeDy2Fe after structural relaxation.

- Calculated volume: 409.26 Å³ per cell
- Spin magnetization: 0.00 μB per formula unit
- Density: 8.45 g/cm3

Cell: 6.7998 9.4884 6.3433 Å, 90.00 90.00 90.00°
Last column: nearest neighbours and their distance in Å.
Space group Pnma (No. 62)
One atom of each set of equivalent atoms:
Ce (0.0716, 0.2500, 0.1344)  1 Fe 2.13
Dy (0.1672, 0.0648, 0.6721)  3 Fe 2.94-3.20
Fe (0.1445, 0.7500, 0.4919)  1 Ce 2.13

Which of them is the least stable? Correct choice: w).